No. 1
Here is a relaxed InOsS2Cl crystal from the Alexandria database. Energies are from PBE.

For the formation energy (no corrections), the calculation gives 6.22 eV per formula unit.

The space group is P4/mmm (No. 123) and the conventional cell measures 5.032, 5.032 and 4.922 Å, with angles of 90.00, 90.00 and 90.00 degrees. Symmetry generates all atoms from In at (0.000, 0.000, 0.000), Os at (0.500, 0.500, 0.500), S at (0.000, 0.500, 0.000) and Cl at (0.000, 0.000, 0.500).

***

No. 2
Here is a relaxed NdDy6Th crystal from the Alexandria database. Energies are from PBE.

The energy of formation from the pure elements is 0.026 eV per atom.

The space group is P4/mmm (No. 123) and the conventional cell measures 5.039, 5.039 and 10.065 Å, with angles of 90.00, 90.00 and 90.00 degrees. Symmetry generates all atoms from Nd at (0.000, 0.000, 0.000), Dy at (0.000, 0.500, 0.254), Dy at (0.500, 0.500, 0.000), Dy at (0.500, 0.500, 0.500) and Th at (0.000, 0.000, 0.500).

***

| no. | density of states at the Fermi level (states/eV/f.u.) | energy relative to the lowest polymorph listed for this composition (meV/atom) |
| --- | --- | --- |
| 1 | 4.5 | 1163 |
| 2 | 10.6 | 0 |